(1)
Nb3Co20B6 (PBE, relaxed); total energy = -7.61 eV per atom; energy of formation from the pure elements = -0.283 eV per atom; total magnetization = 13.59 μB/f.u.
1.0
0.0000 5.2770 5.2770
5.2770 0.0000 5.2770
5.2770 5.2770 0.0000
Nb Co B
3 20 6
direct
0.0000 0.0000 0.0000
0.2500 0.2500 0.2500
0.7500 0.7500 0.7500
0.0000 0.0000 0.3435
0.0000 0.0000 0.6565
0.0000 0.3435 0.0000
0.0000 0.3435 0.6565
0.0000 0.6565 0.0000
0.0000 0.6565 0.3435
0.1515 0.6162 0.6162
0.3435 0.0000 0.0000
0.3435 0.0000 0.6565
0.3435 0.6565 0.0000
0.3838 0.3838 0.3838
0.3838 0.3838 0.8485
0.3838 0.8485 0.3838
0.6162 0.1515 0.6162
0.6162 0.6162 0.1515
0.6162 0.6162 0.6162
0.6565 0.0000 0.0000
0.6565 0.0000 0.3435
0.6565 0.3435 0.0000
0.8485 0.3838 0.3838
0.2710 0.2710 0.7290
0.2710 0.7290 0.2710
0.2710 0.7290 0.7290
0.7290 0.2710 0.2710
0.7290 0.2710 0.7290
0.7290 0.7290 0.2710

---

(2)
Cs3Ac2TbS6 (PBE, relaxed); energy relative to the elements, uncorrected = -1.849 eV/atom; total energy = -5.20 eV per atom; total magnetization = 0.00 μB/f.u.
1.0
3.7854 -6.5561 0.0000
3.7854 6.5561 0.0000
-2.5238 0.0000 8.1069
Cs Ac Tb S
3 2 1 6
direct
0.0000 0.0000 0.0000
0.3326 0.6674 0.0000
0.6674 0.3326 0.0000
0.1666 0.8334 0.5000
0.8334 0.1666 0.5000
0.5000 0.5000 0.5000
0.1222 0.4373 0.3122
0.2476 0.2476 0.6884
0.4373 0.1222 0.3122
0.5627 0.8778 0.6878
0.7524 0.7524 0.3116
0.8778 0.5627 0.6878

---

(3)
ErTlPd4 (PBE, relaxed); total energy = -5.17 eV per atom; relative energy among the computed polymorphs = 24 meV/atom; energy of formation from the pure elements = -0.550 eV per atom; total magnetization = 0.00 μB/f.u.
1.0
4.7788 -1.9738 0.0000
4.7788 1.9738 0.0000
-2.3088 0.0000 5.7498
Er Tl Pd
1 1 4
direct
0.0000 0.0000 0.0000
0.0000 0.0000 0.5000
0.3328 0.3328 0.1676
0.3333 0.3333 0.6716
0.6667 0.6667 0.3284
0.6672 0.6672 0.8324

---

(4)
AgAuN2 (PBE, relaxed); energy relative to the elements, uncorrected = 1.244 eV/atom; total energy = -4.45 eV per atom; relative energy among the computed polymorphs = 972 meV/atom; total magnetization = 0.00 μB/f.u.
1.0
1.6166 0.9334 6.2480
-1.6166 0.9334 6.2480
0.0000 -1.8667 6.2480
Ag Au N
1 1 2
direct
0.0000 0.0000 0.0000
0.5000 0.5000 0.5000
0.1124 0.1124 0.1124
0.8876 0.8876 0.8876

---

(5)
AcTmLu (PBE, relaxed); total energy = -4.28 eV per atom; relative energy among the computed polymorphs = 0 meV/atom; energy of formation from the pure elements = 0.084 eV per atom; total magnetization = 0.00 μB/f.u.
1.0
-1.8419 1.8419 7.6221
1.8419 -1.8419 7.6221
1.8419 1.8419 -7.6221
Ac Tm Lu
1 1 1
direct
0.0000 0.0000 0.0000
0.3256 0.3256 0.0000
0.6736 0.6736 0.0000

---

(6)
Pa2CuSe2S2 (PBE, relaxed); energy relative to the elements, uncorrected = -1.081 eV/atom; total energy = -6.55 eV per atom; total magnetization = 2.78 μB/f.u.
1.0
4.4832 0.0000 0.0000
-2.2416 3.8826 0.0000
0.0000 0.0000 11.2630
Pa Cu Se S
2 1 2 2
direct
0.3333 0.6667 0.1590
0.6667 0.3333 0.8410
0.0000 0.0000 0.5000
0.0000 0.0000 0.2991
0.0000 0.0000 0.7009
0.3333 0.6667 0.9123
0.6667 0.3333 0.0877

---

(7)
Ac5ThMg4 (PBE, relaxed); total energy = -3.45 eV per atom; energy of formation from the pure elements = -0.017 eV per atom; total magnetization = 0.00 μB/f.u.
1.0
4.0055 0.0000 0.0000
0.0000 4.0055 0.0000
0.0000 0.0000 22.1493
Ac Th Mg
5 1 4
direct
0.0000 0.0000 0.0000
0.0000 0.0000 0.1904
0.0000 0.0000 0.3892
0.0000 0.0000 0.6108
0.0000 0.0000 0.8096
0.5000 0.5000 0.5000
0.5000 0.5000 0.0951
0.5000 0.5000 0.2889
0.5000 0.5000 0.7111
0.5000 0.5000 0.9049

---

(8)
LaTb4PmDy2 (PBE, relaxed); total energy = -4.66 eV per atom; energy of formation from the pure elements = 0.018 eV per atom; total magnetization = 0.00 μB/f.u.
1.0
7.1913 0.0000 0.0000
-0.0116 7.2045 0.0000
-0.0060 -0.0044 10.1276
La Tb Pm Dy
2 8 2 4
direct
0.0000 0.0000 0.0000
0.0001 0.4999 0.0001
0.2528 0.2489 0.2536
0.2528 0.2489 0.7465
0.2530 0.7518 0.2534
0.2529 0.7518 0.7467
0.7472 0.2488 0.2535
0.7469 0.2490 0.7467
0.7471 0.7518 0.2535
0.7473 0.7517 0.7466
0.0000 0.5006 0.5000
0.5000 0.5005 0.0001
0.0000 0.0005 0.5001
0.5000 0.0001 0.5001
0.5000 0.0006 0.0001
0.5000 0.5002 0.5000

---

(9)
Na5SrTl7 (PBE, relaxed); total energy = -2.02 eV per atom; energy of formation from the pure elements = -0.107 eV per atom; total magnetization = 0.00 μB/f.u.
1.0
-3.1708 5.5398 5.5195
3.1708 -5.5398 5.5195
3.1708 5.5398 -5.5195
Na Sr Tl
5 1 7
direct
0.0000 0.0000 0.0000
0.2291 0.2308 0.5058
0.2291 0.7233 0.9983
0.7250 0.2308 0.0017
0.7250 0.7233 0.4942
0.2415 0.7415 0.5000
0.0226 0.2241 0.7986
0.4255 0.2241 0.2014
0.4495 0.4495 0.0000
0.5783 0.7272 0.8511
0.5858 0.0858 0.5000
0.8710 0.3710 0.5000
0.8761 0.7272 0.1489

---

(10)
BaTaTe2I (PBE, relaxed); energy relative to the elements, uncorrected = 1.335 eV/atom; total energy = -2.99 eV per atom; relative energy among the computed polymorphs = 1864 meV/atom; total magnetization = 0.00 μB/f.u.
1.0
6.4279 0.0000 0.0000
0.0000 6.4279 0.0000
0.0000 0.0000 6.2845
Ba Ta Te I
1 1 2 1
direct
0.0000 0.0000 0.0000
0.5000 0.5000 0.5000
0.0000 0.5000 0.0000
0.5000 0.0000 0.0000
0.0000 0.0000 0.5000

---

(11)
BaLiMg2Ag4 (PBE, relaxed); total energy = -2.51 eV per atom; energy of formation from the pure elements = -0.211 eV per atom; total magnetization = 0.00 μB/f.u.
1.0
2.3736 1.3704 9.5249
-2.3736 1.3704 9.5249
0.0000 -2.7408 9.5249
Ba Li Mg Ag
1 1 2 4
direct
0.0000 0.0000 0.0000
0.5000 0.5000 0.5000
0.2298 0.2298 0.2298
0.7702 0.7702 0.7702
0.1294 0.1294 0.1294
0.4104 0.4104 0.4104
0.5896 0.5896 0.5896
0.8706 0.8706 0.8706

---

(12)
Y3VN (PBE, relaxed); energy relative to the elements, uncorrected = -0.402 eV/atom; total energy = -7.77 eV per atom; relative energy among the computed polymorphs = 0 meV/atom; total magnetization = 3.32 μB/f.u.
1.0
4.8227 0.0000 0.0000
0.0000 4.8227 0.0000
0.0000 0.0000 4.8227
Y V N
3 1 1
direct
0.0000 0.0000 0.5000
0.0000 0.5000 0.0000
0.5000 0.0000 0.0000
0.5000 0.5000 0.5000
0.0000 0.0000 0.0000